No. 1
A plane-wave DFT calculation with PBE was carried out for NaZr2VTe after structural relaxation.

As for the energy relative to the elements, uncorrected: 454 meV per atom. The value obtained for the total moment is 0.0 μB per formula unit. The electronic total energy is -28.41 eV/cell.

The space group is P4/mmm (No. 123) and the conventional cell measures 4.8826, 4.8826 and 5.3246 Å, with angles of 90.00, 90.00 and 90.00 degrees. The distinct sites, in fractional coordinates, are Na at (0.0000, 0.0000, 0.0000), Zr at (0.0000, 0.5000, 0.5000), V at (0.5000, 0.5000, 0.5000) and Te at (0.5000, 0.5000, 0.0000).

=====

No. 2
A plane-wave DFT calculation with PBE was carried out for Sm4DyBi5 after structural relaxation.

The value obtained for the total moment is 0.0 μB per formula unit. The formation energy comes out at -880 kJ/mol of formula units. The electronic total energy is -104.01 eV/cell.

The space group is I4/mmm (No. 139) and the conventional cell measures 4.5430, 4.5430 and 32.1001 Å, with angles of 90.00, 90.00 and 90.00 degrees. The distinct sites, in fractional coordinates, are Sm at (0.0000, 0.0000, 0.0998), Sm at (0.0000, 0.0000, 0.3005), Dy at (0.0000, 0.0000, 0.5000), Bi at (0.0000, 0.0000, 0.0000), Bi at (0.0000, 0.0000, 0.2000) and Bi at (0.0000, 0.0000, 0.4011).

=====

Q: What is the electronic total energy in the second record?
A: -104.01 eV/cell

=====

Q: total moment of number 1 (NaZr2VTe)?
A: 0.0 μB per formula unit

=====

Q: Which formula does entry 2 have?
A: Sm4DyBi5

=====

Q: Which value of total moment does entry 1 give?
A: 0.0 μB per formula unit